a) CuTe3Au PBE relaxed; space-group type = No. 15; total magnetization = 0.000 μB/f.u.
1.0
7.4930 -4.4800 0.0000
7.4930 4.4800 0.0000
-2.6521 0.0000 8.1281
Cu Te Au
4 12 4
direct
0.1543 0.2949 0.2698
0.2949 0.1543 0.7698
0.7051 0.8457 0.2302
0.8457 0.7051 0.7302
0.1264 0.1271 0.9693
0.1271 0.1264 0.4693
0.1796 0.5066 0.8566
0.1946 0.5807 0.4346
0.4193 0.8054 0.0654
0.4934 0.8204 0.6434
0.5066 0.1796 0.3566
0.5807 0.1946 0.9346
0.8054 0.4193 0.5654
0.8204 0.4934 0.1434
0.8729 0.8736 0.5307
0.8736 0.8729 0.0307
0.2802 0.7198 0.2500
0.3580 0.6420 0.7500
0.6420 0.3580 0.2500
0.7198 0.2802 0.7500

b) CuTe3Au PBE relaxed; space-group type = No. 38; total magnetization = 0.000 μB/f.u.
1.0
4.1139 0.0000 0.0000
0.0000 3.0827 7.1528
0.0000 -3.0827 7.1528
Cu Te Au
1 3 1
direct
0.0000 0.0000 0.0000
0.0000 0.1828 0.1828
0.5000 0.2156 0.7099
0.5000 0.7099 0.2156
0.5000 0.2990 0.2990

c) CuTe3Au PBE relaxed; space-group type = No. 221; total magnetization = 0.000 μB/f.u.
1.0
5.1009 0.0000 0.0000
0.0000 5.1009 0.0000
0.0000 0.0000 5.1009
Cu Te Au
1 3 1
direct
0.0000 0.0000 0.0000
0.0000 0.0000 0.5000
0.0000 0.5000 0.0000
0.5000 0.0000 0.0000
0.5000 0.5000 0.5000

Stability order, top to bottom: a), b), c)

a) Cu2Te2Au PBE relaxed; space-group type = No. 139; total magnetization = 0.000 μB/f.u.
1.0
-1.8572 1.8572 7.6038
1.8572 -1.8572 7.6038
1.8572 1.8572 -7.6038
Cu Te Au
2 2 1
direct
0.2500 0.7500 0.5000
0.7500 0.2500 0.5000
0.1239 0.1239 0.0000
0.8761 0.8761 0.0000
0.5000 0.5000 0.0000

b) Cu2Te2Au PBE relaxed; space-group type = No. 139; total magnetization = 0.000 μB/f.u.
1.0
-2.5987 2.5987 3.9811
2.5987 -2.5987 3.9811
2.5987 2.5987 -3.9811
Cu Te Au
2 2 1
direct
0.1645 0.1645 0.0000
0.8355 0.8355 0.0000
0.2500 0.7500 0.5000
0.7500 0.2500 0.5000
0.5000 0.5000 0.0000

c) Cu2Te2Au PBE relaxed; space-group type = No. 127; total magnetization = 0.000 μB/f.u.
1.0
7.1316 0.0000 0.0000
0.0000 7.1316 0.0000
0.0000 0.0000 3.8361
Cu Te Au
4 4 2
direct
0.1259 0.3741 0.0000
0.3741 0.8741 0.0000
0.6259 0.1259 0.0000
0.8741 0.6259 0.0000
0.1783 0.6783 0.5000
0.3217 0.1783 0.5000
0.6783 0.8217 0.5000
0.8217 0.3217 0.5000
0.0000 0.0000 0.0000
0.5000 0.5000 0.0000

Stability order, top to bottom: a), c), b)

a) Th2Cu3Au PBE relaxed; space-group type = No. 69; total magnetization = 0.000 μB/f.u.
1.0
0.0000 4.5074 7.8018
3.5043 0.0000 7.8018
3.5043 4.5074 0.0000
Th Cu Au
4 6 2
direct
0.2482 0.7518 0.7518
0.2500 0.2500 0.2500
0.7500 0.7500 0.7500
0.7518 0.2482 0.2482
0.1617 0.1617 0.8383
0.1617 0.6764 0.3236
0.3236 0.8383 0.1617
0.6764 0.1617 0.8383
0.8383 0.3236 0.6764
0.8383 0.8383 0.1617
0.3331 0.3331 0.6669
0.6669 0.6669 0.3331

b) Th2Cu3Au PBE relaxed; space-group type = No. 44; total magnetization = 0.000 μB/f.u.
1.0
-1.8885 2.0961 8.0041
1.8885 -2.0961 8.0041
1.8885 2.0961 -8.0041
Th Cu Au
2 3 1
direct
0.0000 0.0000 0.0000
0.7633 0.2633 0.5000
0.1835 0.6835 0.5000
0.3353 0.8353 0.5000
0.4257 0.4257 0.0000
0.5896 0.5896 0.0000

Stability order, top to bottom: a), b)

a) Th2CuAu3 PBE relaxed; space-group type = No. 25; total magnetization = 0.000 μB/f.u.
1.0
3.4844 0.0000 0.0000
0.0000 4.6874 0.0000
0.0000 0.0000 8.2108
Th Cu Au
2 1 3
direct
0.0000 0.0000 0.0000
0.0000 0.5000 0.4935
0.5000 0.0000 0.3244
0.5000 0.0000 0.6459
0.5000 0.5000 0.1763
0.5000 0.5000 0.8339

b) Th2CuAu3 PBE relaxed; space-group type = No. 44; total magnetization = 0.000 μB/f.u.
1.0
-1.9465 2.0814 8.7558
1.9465 -2.0814 8.7558
1.9465 2.0814 -8.7558
Th Cu Au
2 1 3
direct
0.0000 0.0000 0.0000
0.7344 0.2344 0.5000
0.5711 0.5711 0.0000
0.1536 0.6536 0.5000
0.3132 0.8132 0.5000
0.4242 0.4242 0.0000

Stability order, top to bottom: a), b)

a) TiCu3Au PBE relaxed; space-group type = No. 221; total magnetization = 0.000 μB/f.u.
1.0
4.6741 0.0000 0.0000
0.0000 4.6741 0.0000
0.0000 0.0000 4.6741
Ti Cu Au
1 3 1
direct
0.0000 0.0000 0.0000
0.0000 0.5000 0.5000
0.5000 0.0000 0.5000
0.5000 0.5000 0.0000
0.5000 0.5000 0.5000

b) TiCu3Au PBE relaxed; space-group type = No. 221; total magnetization = 1.112 μB/f.u.
1.0
4.5858 0.0000 0.0000
0.0000 4.5858 0.0000
0.0000 0.0000 4.5858
Ti Cu Au
1 3 1
direct
0.0000 0.0000 0.0000
0.0000 0.0000 0.5000
0.0000 0.5000 0.0000
0.5000 0.0000 0.0000
0.5000 0.5000 0.5000

Stability order, top to bottom: a), b)

a) TiCuAu PBE relaxed; space-group type = No. 107; total magnetization = 0.438 μB/f.u.
1.0
-1.6632 1.6632 4.1935
1.6632 -1.6632 4.1935
1.6632 1.6632 -4.1935
Ti Cu Au
1 1 1
direct
0.0000 0.0000 0.0000
0.6606 0.6606 0.0000
0.3256 0.3256 0.0000

b) TiCuAu PBE relaxed; space-group type = No. 71; total magnetization = 0.664 μB/f.u.
1.0
-2.2413 2.7261 3.9439
2.2413 -2.7261 3.9439
2.2413 2.7261 -3.9439
Ti Cu Au
2 2 2
direct
0.1674 0.1674 0.0000
0.8326 0.8326 0.0000
0.2378 0.5000 0.7378
0.7622 0.5000 0.2622
0.3330 0.8330 0.5000
0.6670 0.1670 0.5000

c) TiCuAu PBE relaxed; space-group type = No. 156; total magnetization = 0.000 μB/f.u.
1.0
4.4485 0.0000 0.0000
-2.2242 3.8525 0.0000
0.0000 0.0000 2.7090
Ti Cu Au
1 1 1
direct
0.0000 0.0000 0.0000
0.3333 0.6667 0.4980
0.6667 0.3333 0.5004

Stability order, top to bottom: a), c), b)

a) TlCuAu PBE relaxed; space-group type = No. 129; total magnetization = 0.000 μB/f.u.
1.0
4.0966 0.0000 0.0000
0.0000 4.0966 0.0000
0.0000 0.0000 7.2680
Tl Cu Au
2 2 2
direct
0.2500 0.2500 0.1524
0.7500 0.7500 0.8476
0.2500 0.7500 0.5000
0.7500 0.2500 0.5000
0.2500 0.2500 0.7306
0.7500 0.7500 0.2694

b) TlCuAu PBE relaxed; space-group type = No. 216; total magnetization = 0.000 μB/f.u.
1.0
0.0000 3.1502 3.1502
3.1502 0.0000 3.1502
3.1502 3.1502 0.0000
Tl Cu Au
1 1 1
direct
0.0000 0.0000 0.0000
0.2500 0.2500 0.2500
0.5000 0.5000 0.5000

Stability order, top to bottom: a), b)

a) TlCuAu2 PBE relaxed; space-group type = No. 44; total magnetization = 0.000 μB/f.u.
1.0
-1.9917 2.1438 4.3590
1.9917 -2.1438 4.3590
1.9917 2.1438 -4.3590
Tl Cu Au
1 1 2
direct
0.0000 0.0000 0.0000
0.7504 0.2504 0.5000
0.2628 0.7628 0.5000
0.5231 0.5231 0.0000

b) TlCuAu2 PBE relaxed; space-group type = No. 10; total magnetization = 0.000 μB/f.u.
1.0
3.5695 0.0000 0.0000
0.0000 4.2460 0.0000
-1.7336 0.0000 5.2426
Tl Cu Au
1 1 2
direct
0.0000 0.0000 0.0000
0.0000 0.0000 0.5000
0.3882 0.5000 0.7222
0.6118 0.5000 0.2778

Stability order, top to bottom: a), b)

a) Tl2Cu2Au PBE relaxed; space-group type = No. 139; total magnetization = 0.000 μB/f.u.
1.0
-1.7417 1.7417 8.4944
1.7417 -1.7417 8.4944
1.7417 1.7417 -8.4944
Tl Cu Au
2 2 1
direct
0.1094 0.1094 0.0000
0.8906 0.8906 0.0000
0.2500 0.7500 0.5000
0.7500 0.2500 0.5000
0.5000 0.5000 0.0000

b) Tl2Cu2Au PBE relaxed; space-group type = No. 139; total magnetization = 0.000 μB/f.u.
1.0
-2.1722 2.1722 5.7807
2.1722 -2.1722 5.7807
2.1722 2.1722 -5.7807
Tl Cu Au
2 2 1
direct
0.2500 0.7500 0.5000
0.7500 0.2500 0.5000
0.0995 0.0995 0.0000
0.9005 0.9005 0.0000
0.5000 0.5000 0.0000

c) Tl2Cu2Au PBE relaxed; space-group type = No. 127; total magnetization = 0.000 μB/f.u.
1.0
6.9146 0.0000 0.0000
0.0000 6.9146 0.0000
0.0000 0.0000 4.1583
Tl Cu Au
4 4 2
direct
0.1749 0.3251 0.0000
0.3251 0.8251 0.0000
0.6749 0.1749 0.0000
0.8251 0.6749 0.0000
0.1289 0.6289 0.5000
0.3711 0.1289 0.5000
0.6289 0.8711 0.5000
0.8711 0.3711 0.5000
0.0000 0.0000 0.5000
0.5000 0.5000 0.5000

Stability order, top to bottom: c), a), b)

a) TlCuAu3 PBE relaxed; space-group type = No. 221; total magnetization = 0.000 μB/f.u.
1.0
5.2758 0.0000 0.0000
0.0000 5.2758 0.0000
0.0000 0.0000 5.2758
Tl Cu Au
1 1 3
direct
0.0000 0.0000 0.0000
0.5000 0.5000 0.5000
0.0000 0.0000 0.5000
0.0000 0.5000 0.0000
0.5000 0.0000 0.0000

b) TlCuAu3 PBE relaxed; space-group type = No. 221; total magnetization = 0.000 μB/f.u.
1.0
4.9141 0.0000 0.0000
0.0000 4.9141 0.0000
0.0000 0.0000 4.9141
Tl Cu Au
1 1 3
direct
0.0000 0.0000 0.0000
0.5000 0.5000 0.5000
0.0000 0.5000 0.5000
0.5000 0.0000 0.5000
0.5000 0.5000 0.0000

Stability order, top to bottom: b), a)

a) TmCuAu PBE relaxed; space-group type = No. 187; total magnetization = 0.000 μB/f.u.
1.0
4.4582 0.0000 0.0000
-2.2291 3.8609 0.0000
0.0000 0.0000 3.4243
Tm Cu Au
1 1 1
direct
0.0000 0.0000 0.0000
0.3333 0.6667 0.5000
0.6667 0.3333 0.5000

b) TmCuAu PBE relaxed; space-group type = No. 44; total magnetization = 0.000 μB/f.u.
1.0
-1.9500 2.3709 3.5651
1.9500 -2.3709 3.5651
1.9500 2.3709 -3.5651
Tm Cu Au
1 1 1
direct
0.0000 0.0000 0.0000
0.5696 0.5696 0.0000
0.2850 0.7850 0.5000

c) TmCuAu PBE relaxed; space-group type = No. 59; total magnetization = 0.000 μB/f.u.
1.0
4.0261 0.0000 0.0000
0.0000 4.2439 0.0000
0.0000 0.0000 6.9520
Tm Cu Au
2 2 2
direct
0.2500 0.2500 0.1759
0.7500 0.7500 0.8241
0.2500 0.7500 0.5039
0.7500 0.2500 0.4961
0.2500 0.2500 0.7508
0.7500 0.7500 0.2492

Stability order, top to bottom: a), c), b)